Record 1
4
Lattice="9.6002 0.0256 0.0150 9.1189 3.0018 0.0150 9.1189 1.4748 2.6146" Properties=species:S:1:pos:R:3 comment="PBE-GGA ZrTa2Si, relaxed" final_energy_ev_per_cell=-37.4 pbc="T T T"
Ta 0.1696 0.0274 0.0161
Ta 7.0264 1.1363 0.6675
Zr 13.7709 2.2271 1.3082
Si 20.7900 3.3623 1.9751

=====

Record 2
8
Lattice="7.7469 0.0000 0.0000 0.0000 7.7469 0.0000 3.8734 3.8734 2.6310" Properties=species:S:1:pos:R:3 comment="PBE-GGA ZrTa2Si, relaxed" final_energy_ev_per_cell=-73.4 pbc="T T T"
Ta 2.3578 5.8102 0.6577
Ta 9.6836 9.2625 1.9732
Ta 5.3891 1.9367 0.6577
Ta 5.8102 6.2313 1.9732
Zr 7.7469 3.8734 1.3155
Zr 0.0000 0.0000 0.0000
Si 3.8734 3.8734 0.0000
Si 3.8734 7.7469 1.3155

=====

Record 3
4
Lattice="3.4260 0.0000 0.0000 0.0000 3.4260 0.0000 0.0000 0.0000 6.1281" Properties=species:S:1:pos:R:3 comment="PBE-GGA ZrTa2Si, relaxed" final_energy_ev_per_cell=-38.9 pbc="T T T"
Ta 1.7130 1.7130 1.4402
Ta 0.0000 0.0000 6.0224
Zr 0.0000 0.0000 3.1440
Si 1.7130 1.7130 4.7137

=====

Number 1: density of states at the Fermi level 4.8 states/eV per cell, magnetization 0.00 μB/cell, calculated volume 74.3 Å³/cell. Number 2: density of states at the Fermi level 4.1 states/eV per cell, magnetization 0.00 μB/cell, calculated volume 157.9 Å³/cell. Number 3: density of states at the Fermi level 2.2 states/eV per cell, magnetization 0.00 μB/cell, calculated volume 71.9 Å³/cell.